11
Lattice="4.6511 -5.6446 0.0000 4.6511 5.6446 0.0000 0.0000 0.0000 7.5524" Properties=species:S:1:pos:R:3 comment="Ac7Ge2Ru2 | the Alexandria database | PBE | relaxed" spacegroup="Cmmm, No. 65" e_form_ev_per_atom=-0.192 crystal_system=orthorhombic de_polymorph_mev_per_atom=117 dos_at_fermi_per_ev_atom=0.79 magmom_total_mub_per_fu=0.0 pbc="T T T"
Ac 0.0000 0.0000 0.0000
Ac 2.3256 2.8223 1.9287
Ac 2.3256 2.8223 5.6238
Ac 2.3256 -2.8223 1.9287
Ac 2.3256 -2.8223 5.6238
Ac 4.6511 0.0000 1.7483
Ac 4.6511 0.0000 5.8041
Ge 2.1554 0.0000 3.7762
Ge 7.1469 0.0000 3.7762
Ru 4.6511 2.5797 0.0000
Ru 4.6511 -2.5797 0.0000